1.
DFT (GGA-PBE) results for a relaxed structure of CoOs2Pb.

```
data_CoOs2Pb
_chemical_formula_sum 'Co4 Os8 Pb4'
_symmetry_space_group_name_H-M 'I -4 2 d'
_symmetry_Int_Tables_number 122
_symmetry_space_group_name_Hall 'I -4 2bw'
_cell_length_a 3.9895
_cell_length_b 3.9895
_cell_length_c 18.1431
_cell_angle_alpha 90.00
_cell_angle_beta 90.00
_cell_angle_gamma 90.00
loop_
_atom_site_label
_atom_site_fract_x
_atom_site_fract_y
_atom_site_fract_z
Co1 0.0000 0.0000 0.0000
Os1 0.1681 0.2500 0.1250
Pb1 0.0000 0.0000 0.5000
```

Values from the calculation:
DFT total energy (eV per cell): -117.52
Total magnetic moment (μB per cell): 4.3
Formation energy from the elements (eV/atom): 0.9735

2.
DFT (GGA-PBE) results for a relaxed structure of CoOsPb2.

```
data_CoOsPb2
_chemical_formula_sum 'Co1 Os1 Pb2'
_symmetry_space_group_name_H-M 'P 1 m 1'
_symmetry_Int_Tables_number 6
_symmetry_space_group_name_Hall 'P -2y'
_cell_length_a 4.1028
_cell_length_b 3.9966
_cell_length_c 5.3474
_cell_angle_alpha 90.00
_cell_angle_beta 112.48
_cell_angle_gamma 90.00
loop_
_atom_site_label
_atom_site_fract_x
_atom_site_fract_y
_atom_site_fract_z
Co1 0.0000 0.0000 0.0000
Os1 0.8766 0.5000 0.7565
Pb1 0.2866 0.0000 0.5752
Pb2 0.5846 0.5000 0.1714
```

Values from the calculation:
DFT total energy (eV per cell): -23.45
Total magnetic moment (μB per cell): 0.7
Formation energy from the elements (eV/atom): 0.5762
ΔE to the lowest computed polymorph (eV per atom): 0.093

3.
DFT (GGA-PBE) results for a relaxed structure of Co2OsPb.

```
data_Co2OsPb
_chemical_formula_sum 'Co2 Os1 Pb1'
_symmetry_space_group_name_H-M 'P 4/m m m'
_symmetry_Int_Tables_number 123
_symmetry_space_group_name_Hall '-P 4 2'
_cell_length_a 2.8917
_cell_length_b 2.8917
_cell_length_c 7.2771
_cell_angle_alpha 90.00
_cell_angle_beta 90.00
_cell_angle_gamma 90.00
loop_
_atom_site_label
_atom_site_fract_x
_atom_site_fract_y
_atom_site_fract_z
Co1 0.0000 0.0000 0.2110
Os1 0.5000 0.5000 0.0000
Pb1 0.5000 0.5000 0.5000
```

Values from the calculation:
DFT total energy (eV per cell): -26.87
Total magnetic moment (μB per cell): 1.8
Formation energy from the elements (eV/atom): 0.5703

4.
DFT (GGA-PBE) results for a relaxed structure of CoOs2Pb.

```
data_CoOs2Pb
_chemical_formula_sum 'Co4 Os8 Pb4'
_symmetry_space_group_name_H-M 'F -4 3 m'
_symmetry_Int_Tables_number 216
_symmetry_space_group_name_Hall 'F -4 2 3'
_cell_length_a 6.3285
_cell_length_b 6.3285
_cell_length_c 6.3285
_cell_angle_alpha 90.00
_cell_angle_beta 90.00
_cell_angle_gamma 90.00
loop_
_atom_site_label
_atom_site_fract_x
_atom_site_fract_y
_atom_site_fract_z
Co1 0.0000 0.0000 0.0000
Os1 0.0000 0.0000 0.5000
Os2 0.2500 0.2500 0.2500
Pb1 0.2500 0.2500 0.7500
```

Values from the calculation:
DFT total energy (eV per cell): -118.09
Total magnetic moment (μB per cell): 7.3
Formation energy from the elements (eV/atom): 0.9378

5.
DFT (GGA-PBE) results for a relaxed structure of CoOs2Pb.

```
data_CoOs2Pb
_chemical_formula_sum 'Co2 Os4 Pb2'
_symmetry_space_group_name_H-M 'I -4 m 2'
_symmetry_Int_Tables_number 119
_symmetry_space_group_name_Hall 'I -4 -2'
_cell_length_a 4.0147
_cell_length_b 4.0147
_cell_length_c 7.6522
_cell_angle_alpha 90.00
_cell_angle_beta 90.00
_cell_angle_gamma 90.00
loop_
_atom_site_label
_atom_site_fract_x
_atom_site_fract_y
_atom_site_fract_z
Co1 0.0000 0.0000 0.0000
Os1 0.0000 0.0000 0.5000
Os2 0.0000 0.5000 0.7500
Pb1 0.0000 0.5000 0.2500
```

Values from the calculation:
DFT total energy (eV per cell): -60.10
Total magnetic moment (μB per cell): 0.0
Formation energy from the elements (eV/atom): 0.8058

6.
DFT (GGA-PBE) results for a relaxed structure of CoOs2Pb.

```
data_CoOs2Pb
_chemical_formula_sum 'Co1 Os2 Pb1'
_symmetry_space_group_name_H-M 'P m m 2'
_symmetry_Int_Tables_number 25
_symmetry_space_group_name_Hall 'P 2 -2'
_cell_length_a 2.8373
_cell_length_b 3.6147
_cell_length_c 6.4856
_cell_angle_alpha 90.00
_cell_angle_beta 90.00
_cell_angle_gamma 90.00
loop_
_atom_site_label
_atom_site_fract_x
_atom_site_fract_y
_atom_site_fract_z
Co1 0.0000 0.0000 0.0000
Os1 0.0000 0.0000 0.3924
Os2 0.5000 0.5000 0.2010
Pb1 0.5000 0.5000 0.7260
```

Values from the calculation:
DFT total energy (eV per cell): -30.67
Total magnetic moment (μB per cell): 1.1
Formation energy from the elements (eV/atom): 0.6508

7.
DFT (GGA-PBE) results for a relaxed structure of CoOsPb2.

```
data_CoOsPb2
_chemical_formula_sum 'Co1 Os1 Pb2'
_symmetry_space_group_name_H-M 'P 4 m m'
_symmetry_Int_Tables_number 99
_symmetry_space_group_name_Hall 'P 4 -2'
_cell_length_a 3.1199
_cell_length_b 3.1199
_cell_length_c 8.7572
_cell_angle_alpha 90.00
_cell_angle_beta 90.00
_cell_angle_gamma 90.00
loop_
_atom_site_label
_atom_site_fract_x
_atom_site_fract_y
_atom_site_fract_z
Co1 0.0000 0.0000 0.0000
Os1 0.5000 0.5000 0.1355
Pb1 0.0000 0.0000 0.3760
Pb2 0.5000 0.5000 0.7778
```

Values from the calculation:
DFT total energy (eV per cell): -23.82
Total magnetic moment (μB per cell): 1.1
Formation energy from the elements (eV/atom): 0.4836
ΔE to the lowest computed polymorph (eV per atom): 0.000

8.
DFT (GGA-PBE) results for a relaxed structure of CoOs2Pb.

```
data_CoOs2Pb
_chemical_formula_sum 'Co1 Os2 Pb1'
_symmetry_space_group_name_H-M 'P m m m'
_symmetry_Int_Tables_number 47
_symmetry_space_group_name_Hall '-P 2 2'
_cell_length_a 2.9163
_cell_length_b 4.6150
_cell_length_c 4.7193
_cell_angle_alpha 90.00
_cell_angle_beta 90.00
_cell_angle_gamma 90.00
loop_
_atom_site_label
_atom_site_fract_x
_atom_site_fract_y
_atom_site_fract_z
Co1 0.0000 0.0000 0.0000
Os1 0.0000 0.5000 0.5000
Os2 0.5000 0.0000 0.5000
Pb1 0.5000 0.5000 0.0000
```

Values from the calculation:
DFT total energy (eV per cell): -29.53
Total magnetic moment (μB per cell): 1.5
Formation energy from the elements (eV/atom): 0.9360

9.
DFT (GGA-PBE) results for a relaxed structure of Co2OsPb.

```
data_Co2OsPb
_chemical_formula_sum 'Co6 Os3 Pb3'
_symmetry_space_group_name_H-M 'R -3 m'
_symmetry_Int_Tables_number 166
_symmetry_space_group_name_Hall '-R 3 2"'
_cell_length_a 2.8988
_cell_length_b 2.8988
_cell_length_c 25.9158
_cell_angle_alpha 90.00
_cell_angle_beta 90.00
_cell_angle_gamma 120.00
loop_
_atom_site_label
_atom_site_fract_x
_atom_site_fract_y
_atom_site_fract_z
Co1 0.0000 0.0000 0.2410
Os1 0.0000 0.0000 0.5000
Pb1 0.0000 0.0000 0.0000
```

Values from the calculation:
DFT total energy (eV per cell): -78.88
Total magnetic moment (μB per cell): 8.7
Formation energy from the elements (eV/atom): 0.7144

10.
DFT (GGA-PBE) results for a relaxed structure of CoOs2Pb.

```
data_CoOs2Pb
_chemical_formula_sum 'Co1 Os2 Pb1'
_symmetry_space_group_name_H-M 'P 1 2/m 1'
_symmetry_Int_Tables_number 10
_symmetry_space_group_name_Hall '-P 2y'
_cell_length_a 4.6736
_cell_length_b 2.8807
_cell_length_c 4.8170
_cell_angle_alpha 90.00
_cell_angle_beta 106.16
_cell_angle_gamma 90.00
loop_
_atom_site_label
_atom_site_fract_x
_atom_site_fract_y
_atom_site_fract_z
Co1 0.0000 0.0000 0.0000
Os1 0.0000 0.5000 0.5000
Os2 0.5000 0.0000 0.5000
Pb1 0.5000 0.5000 0.0000
```

Values from the calculation:
DFT total energy (eV per cell): -29.80
Total magnetic moment (μB per cell): 0.0
Formation energy from the elements (eV/atom): 0.8672

11.
DFT (GGA-PBE) results for a relaxed structure of CoOsPb.

```
data_CoOsPb
_chemical_formula_sum 'Co1 Os1 Pb1'
_symmetry_space_group_name_H-M 'P 3 m 1'
_symmetry_Int_Tables_number 156
_symmetry_space_group_name_Hall 'P 3 -2"'
_cell_length_a 2.9882
_cell_length_b 2.9882
_cell_length_c 6.5458
_cell_angle_alpha 90.00
_cell_angle_beta 90.00
_cell_angle_gamma 120.00
loop_
_atom_site_label
_atom_site_fract_x
_atom_site_fract_y
_atom_site_fract_z
Co1 0.0000 0.0000 0.0000
Os1 0.3333 0.6667 0.2735
Pb1 0.6667 0.3333 0.6521
```

Values from the calculation:
DFT total energy (eV per cell): -19.40
Total magnetic moment (μB per cell): 0.7
Formation energy from the elements (eV/atom): 0.8798
ΔE to the lowest computed polymorph (eV per atom): 0.064

12.
DFT (GGA-PBE) results for a relaxed structure of CoOs2Pb.

```
data_CoOs2Pb
_chemical_formula_sum 'Co1 Os2 Pb1'
_symmetry_space_group_name_H-M 'P 4/m m m'
_symmetry_Int_Tables_number 123
_symmetry_space_group_name_Hall '-P 4 2'
_cell_length_a 4.4351
_cell_length_b 4.4351
_cell_length_c 3.1925
_cell_angle_alpha 90.00
_cell_angle_beta 90.00
_cell_angle_gamma 90.00
loop_
_atom_site_label
_atom_site_fract_x
_atom_site_fract_y
_atom_site_fract_z
Co1 0.0000 0.0000 0.0000
Os1 0.0000 0.5000 0.5000
Pb1 0.5000 0.5000 0.0000
```

Values from the calculation:
DFT total energy (eV per cell): -29.21
Total magnetic moment (μB per cell): 1.3
Formation energy from the elements (eV/atom): 1.0148

Which value of total magnetic moment does entry 3 give?
1.8 μB per cell

DFT total energy of number 9 (Co2OsPb)?
-78.88 eV per cell

Look up the DFT total energy of the twelfth one.
-29.21 eV per cell